CsTbBeSe3 | PBE | relaxed

Geometry as CIF:
```
data_CsTbBeSe3
_chemical_formula_sum 'Cs2 Tb2 Be2 Se6'
_symmetry_space_group_name_H-M 'P 1 21/m 1'
_symmetry_Int_Tables_number 11
_cell_length_a 9.944
_cell_length_b 4.068
_cell_length_c 9.956
_cell_angle_alpha 90.00
_cell_angle_beta 112.61
_cell_angle_gamma 90.00
loop_
_symmetry_equiv_pos_as_xyz
'x,y,z'
'-x,-y,-z'
'-x,y+1/2,-z'
'x,-y+1/2,z'
loop_
_atom_site_label
_atom_site_fract_x
_atom_site_fract_y
_atom_site_fract_z
Cs1 0.243 0.250 0.212
Tb1 0.144 0.250 0.669
Be1 0.393 0.750 0.923
Se1 0.158 0.750 0.878
Se2 0.165 0.750 0.475
Se3 0.464 0.250 0.836
```

The density of states at the Fermi level is 0.0000 states/eV per atom. For the total DFT energy (no corrections), the calculation gives -4.684 eV/atom. The value obtained for the uncorrected formation energy is -1.407 eV per atom.

CsThBeSe4 | PBE | relaxed

Geometry as CIF:
```
data_CsThBeSe4
_chemical_formula_sum 'Cs2 Th2 Be2 Se8'
_symmetry_space_group_name_H-M 'P 1 21/m 1'
_symmetry_Int_Tables_number 11
_cell_length_a 7.120
_cell_length_b 5.963
_cell_length_c 10.160
_cell_angle_alpha 90.00
_cell_angle_beta 104.30
_cell_angle_gamma 90.00
loop_
_symmetry_equiv_pos_as_xyz
'x,y,z'
'-x,-y,-z'
'-x,y+1/2,-z'
'x,-y+1/2,z'
loop_
_atom_site_label
_atom_site_fract_x
_atom_site_fract_y
_atom_site_fract_z
Cs1 0.248 0.250 0.042
Th1 0.260 0.250 0.553
Be1 0.259 0.750 0.340
Se1 0.009 0.004 0.304
Se2 0.399 0.750 0.563
Se3 0.446 0.750 0.199
```

The density of states at the Fermi level is 0.2451 states/eV per atom. For the total DFT energy (no corrections), the calculation gives -4.988 eV/atom. The value obtained for the uncorrected formation energy is -1.283 eV per atom.

Cs2TiBeSe4 | PBE | relaxed

Geometry as CIF:
```
data_Cs2TiBeSe4
_chemical_formula_sum 'Cs16 Ti8 Be8 Se32'
_symmetry_space_group_name_H-M 'F d d d'
_symmetry_Int_Tables_number 70
_cell_length_a 5.747
_cell_length_b 14.794
_cell_length_c 26.065
_cell_angle_alpha 90.00
_cell_angle_beta 90.00
_cell_angle_gamma 90.00
loop_
_symmetry_equiv_pos_as_xyz
'x,y,z'
'-x,-y,-z'
'-x+1/4,-y+1/4,z'
'x+1/4,y+1/4,-z'
'x,-y+1/4,-z+1/4'
'-x,y+1/4,z+1/4'
'-x+1/4,y,-z+1/4'
'x+1/4,-y,z+1/4'
'x,y+1/2,z+1/2'
'-x,-y+1/2,-z+1/2'
'-x+1/4,-y+3/4,z+1/2'
'x+1/4,y+3/4,-z+1/2'
'x,-y+3/4,-z+3/4'
'-x,y+3/4,z+3/4'
'-x+1/4,y+1/2,-z+3/4'
'x+1/4,-y+1/2,z+3/4'
'x+1/2,y,z+1/2'
'-x+1/2,-y,-z+1/2'
'-x+3/4,-y+1/4,z+1/2'
'x+3/4,y+1/4,-z+1/2'
'x+1/2,-y+1/4,-z+3/4'
'-x+1/2,y+1/4,z+3/4'
'-x+3/4,y,-z+3/4'
'x+3/4,-y,z+3/4'
'x+1/2,y+1/2,z'
'-x+1/2,-y+1/2,-z'
'-x+3/4,-y+3/4,z'
'x+3/4,y+3/4,-z'
'x+1/2,-y+3/4,-z+1/4'
'-x+1/2,y+3/4,z+1/4'
'-x+3/4,y+1/2,-z+1/4'
'x+3/4,-y+1/2,z+1/4'
loop_
_atom_site_label
_atom_site_fract_x
_atom_site_fract_y
_atom_site_fract_z
Cs1 0.125 0.125 0.302
Ti1 0.125 0.125 0.125
Be1 0.125 0.125 0.625
Se1 0.111 0.287 0.825
```

The density of states at the Fermi level is 0.0000 states/eV per atom. For the total DFT energy (no corrections), the calculation gives -4.606 eV/atom. The value obtained for the uncorrected formation energy is -1.197 eV per atom.

Cs2TmBe2Se4 | PBE | relaxed

Geometry as CIF:
```
data_Cs2TmBe2Se4
_chemical_formula_sum 'Cs4 Tm2 Be4 Se8'
_symmetry_space_group_name_H-M 'C 1 2/m 1'
_symmetry_Int_Tables_number 12
_cell_length_a 15.108
_cell_length_b 3.967
_cell_length_c 8.505
_cell_angle_alpha 90.00
_cell_angle_beta 108.41
_cell_angle_gamma 90.00
loop_
_symmetry_equiv_pos_as_xyz
'x,y,z'
'-x,-y,-z'
'-x,y,-z'
'x,-y,z'
'x+1/2,y+1/2,z'
'-x+1/2,-y+1/2,-z'
'-x+1/2,y+1/2,-z'
'x+1/2,-y+1/2,z'
loop_
_atom_site_label
_atom_site_fract_x
_atom_site_fract_y
_atom_site_fract_z
Cs1 0.133 0.000 0.038
Tm1 0.000 0.000 0.500
Be1 0.172 0.500 0.478
Se1 0.033 0.500 0.284
Se2 0.202 0.000 0.635
```

The density of states at the Fermi level is 0.4341 states/eV per atom. For the total DFT energy (no corrections), the calculation gives -4.115 eV/atom. The value obtained for the uncorrected formation energy is -1.051 eV per atom.

Cs2UBeSe4 | PBE | relaxed

Geometry as CIF:
```
data_Cs2UBeSe4
_chemical_formula_sum 'Cs16 U8 Be8 Se32'
_symmetry_space_group_name_H-M 'F d d d'
_symmetry_Int_Tables_number 70
_cell_length_a 6.241
_cell_length_b 15.097
_cell_length_c 26.823
_cell_angle_alpha 90.00
_cell_angle_beta 90.00
_cell_angle_gamma 90.00
loop_
_symmetry_equiv_pos_as_xyz
'x,y,z'
'-x,-y,-z'
'-x+1/4,-y+1/4,z'
'x+1/4,y+1/4,-z'
'x,-y+1/4,-z+1/4'
'-x,y+1/4,z+1/4'
'-x+1/4,y,-z+1/4'
'x+1/4,-y,z+1/4'
'x,y+1/2,z+1/2'
'-x,-y+1/2,-z+1/2'
'-x+1/4,-y+3/4,z+1/2'
'x+1/4,y+3/4,-z+1/2'
'x,-y+3/4,-z+3/4'
'-x,y+3/4,z+3/4'
'-x+1/4,y+1/2,-z+3/4'
'x+1/4,-y+1/2,z+3/4'
'x+1/2,y,z+1/2'
'-x+1/2,-y,-z+1/2'
'-x+3/4,-y+1/4,z+1/2'
'x+3/4,y+1/4,-z+1/2'
'x+1/2,-y+1/4,-z+3/4'
'-x+1/2,y+1/4,z+3/4'
'-x+3/4,y,-z+3/4'
'x+3/4,-y,z+3/4'
'x+1/2,y+1/2,z'
'-x+1/2,-y+1/2,-z'
'-x+3/4,-y+3/4,z'
'x+3/4,y+3/4,-z'
'x+1/2,-y+3/4,-z+1/4'
'-x+1/2,y+3/4,z+1/4'
'-x+3/4,y+1/2,-z+1/4'
'x+3/4,-y+1/2,z+1/4'
loop_
_atom_site_label
_atom_site_fract_x
_atom_site_fract_y
_atom_site_fract_z
Cs1 0.125 0.125 0.303
U1 0.125 0.125 0.125
Be1 0.125 0.125 0.625
Se1 0.080 0.283 0.825
```

The density of states at the Fermi level is 0.9264 states/eV per atom. For the total DFT energy (no corrections), the calculation gives -4.822 eV/atom. The value obtained for the uncorrected formation energy is -0.989 eV per atom.

CsUBeSe4 | PBE | relaxed

Geometry as CIF:
```
data_CsUBeSe4
_chemical_formula_sum 'Cs2 U2 Be2 Se8'
_symmetry_space_group_name_H-M 'P 1 21/m 1'
_symmetry_Int_Tables_number 11
_cell_length_a 6.370
_cell_length_b 6.793
_cell_length_c 9.749
_cell_angle_alpha 90.00
_cell_angle_beta 107.65
_cell_angle_gamma 90.00
loop_
_symmetry_equiv_pos_as_xyz
'x,y,z'
'-x,-y,-z'
'-x,y+1/2,-z'
'x,-y+1/2,z'
loop_
_atom_site_label
_atom_site_fract_x
_atom_site_fract_y
_atom_site_fract_z
Cs1 0.202 0.250 0.448
U1 0.319 0.750 0.052
Be1 0.129 0.250 0.849
Se1 0.128 0.250 0.075
Se2 0.209 0.750 0.303
Se3 0.329 0.506 0.810
```

The density of states at the Fermi level is 0.8348 states/eV per atom. For the total DFT energy (no corrections), the calculation gives -5.297 eV/atom. The value obtained for the uncorrected formation energy is -1.039 eV per atom.

Cs2BeVSe4 | PBE | relaxed

Geometry as CIF:
```
data_Cs2BeVSe4
_chemical_formula_sum 'Cs16 Be8 V8 Se32'
_symmetry_space_group_name_H-M 'F d d d'
_symmetry_Int_Tables_number 70
_cell_length_a 5.744
_cell_length_b 14.591
_cell_length_c 25.890
_cell_angle_alpha 90.00
_cell_angle_beta 90.00
_cell_angle_gamma 90.00
loop_
_symmetry_equiv_pos_as_xyz
'x,y,z'
'-x,-y,-z'
'-x+1/4,-y+1/4,z'
'x+1/4,y+1/4,-z'
'x,-y+1/4,-z+1/4'
'-x,y+1/4,z+1/4'
'-x+1/4,y,-z+1/4'
'x+1/4,-y,z+1/4'
'x,y+1/2,z+1/2'
'-x,-y+1/2,-z+1/2'
'-x+1/4,-y+3/4,z+1/2'
'x+1/4,y+3/4,-z+1/2'
'x,-y+3/4,-z+3/4'
'-x,y+3/4,z+3/4'
'-x+1/4,y+1/2,-z+3/4'
'x+1/4,-y+1/2,z+3/4'
'x+1/2,y,z+1/2'
'-x+1/2,-y,-z+1/2'
'-x+3/4,-y+1/4,z+1/2'
'x+3/4,y+1/4,-z+1/2'
'x+1/2,-y+1/4,-z+3/4'
'-x+1/2,y+1/4,z+3/4'
'-x+3/4,y,-z+3/4'
'x+3/4,-y,z+3/4'
'x+1/2,y+1/2,z'
'-x+1/2,-y+1/2,-z'
'-x+3/4,-y+3/4,z'
'x+3/4,y+3/4,-z'
'x+1/2,-y+3/4,-z+1/4'
'-x+1/2,y+3/4,z+1/4'
'-x+3/4,y+1/2,-z+1/4'
'x+3/4,-y+1/2,z+1/4'
loop_
_atom_site_label
_atom_site_fract_x
_atom_site_fract_y
_atom_site_fract_z
Cs1 0.125 0.125 0.303
Be1 0.125 0.125 0.125
V1 0.125 0.125 0.625
Se1 0.114 0.287 0.424
```

The density of states at the Fermi level is 0.3555 states/eV per atom. For the total DFT energy (no corrections), the calculation gives -4.556 eV/atom. The value obtained for the uncorrected formation energy is -0.995 eV per atom.

CsBe2WSe | PBE | relaxed

Geometry as CIF:
```
data_CsBe2WSe
_chemical_formula_sum 'Cs1 Be2 W1 Se1'
_symmetry_space_group_name_H-M 'P 4/m m m'
_symmetry_Int_Tables_number 123
_symmetry_space_group_name_Hall '-P 4 2'
_cell_length_a 4.973
_cell_length_b 4.973
_cell_length_c 4.826
_cell_angle_alpha 90.00
_cell_angle_beta 90.00
_cell_angle_gamma 90.00
loop_
_atom_site_label
_atom_site_fract_x
_atom_site_fract_y
_atom_site_fract_z
Cs1 0.000 0.000 0.000
Be1 0.000 0.500 0.500
W1 0.500 0.500 0.000
Se1 0.500 0.500 0.500
```

The density of states at the Fermi level is 0.7602 states/eV per atom. For the total DFT energy (no corrections), the calculation gives -3.302 eV/atom. The value obtained for the uncorrected formation energy is 1.647 eV per atom.

Cs2YBe2Se4 | PBE | relaxed

Geometry as CIF:
```
data_Cs2YBe2Se4
_chemical_formula_sum 'Cs4 Y2 Be4 Se8'
_symmetry_space_group_name_H-M 'C 1 2/m 1'
_symmetry_Int_Tables_number 12
_cell_length_a 15.335
_cell_length_b 3.951
_cell_length_c 8.571
_cell_angle_alpha 90.00
_cell_angle_beta 108.99
_cell_angle_gamma 90.00
loop_
_symmetry_equiv_pos_as_xyz
'x,y,z'
'-x,-y,-z'
'-x,y,-z'
'x,-y,z'
'x+1/2,y+1/2,z'
'-x+1/2,-y+1/2,-z'
'-x+1/2,y+1/2,-z'
'x+1/2,-y+1/2,z'
loop_
_atom_site_label
_atom_site_fract_x
_atom_site_fract_y
_atom_site_fract_z
Cs1 0.133 0.000 0.038
Y1 0.000 0.000 0.500
Be1 0.171 0.500 0.476
Se1 0.035 0.500 0.279
Se2 0.203 0.000 0.633
```

The density of states at the Fermi level is 0.4154 states/eV per atom. For the total DFT energy (no corrections), the calculation gives -4.355 eV/atom. The value obtained for the uncorrected formation energy is -1.070 eV per atom.

CsBe2Si4 | PBE | relaxed

Geometry as CIF:
```
data_CsBe2Si4
_chemical_formula_sum 'Cs2 Be4 Si8'
_symmetry_space_group_name_H-M 'I 4/m m m'
_symmetry_Int_Tables_number 139
_symmetry_space_group_name_Hall '-I 4 2'
_cell_length_a 5.248
_cell_length_b 5.248
_cell_length_c 13.252
_cell_angle_alpha 90.00
_cell_angle_beta 90.00
_cell_angle_gamma 90.00
loop_
_atom_site_label
_atom_site_fract_x
_atom_site_fract_y
_atom_site_fract_z
Cs1 0.000 0.000 0.000
Be1 0.000 0.000 0.423
Si1 0.000 0.000 0.261
Si2 0.000 0.500 0.000
```

The density of states at the Fermi level is 0.5858 states/eV per atom. For the total DFT energy (no corrections), the calculation gives -2.530 eV/atom. The value obtained for the uncorrected formation energy is 1.755 eV per atom.

CsBeSi3 | PBE | relaxed

Geometry as CIF:
```
data_CsBeSi3
_chemical_formula_sum 'Cs1 Be1 Si3'
_symmetry_space_group_name_H-M 'P m -3 m'
_symmetry_Int_Tables_number 221
_symmetry_space_group_name_Hall '-P 4 2 3'
_cell_length_a 4.764
_cell_length_b 4.764
_cell_length_c 4.764
_cell_angle_alpha 90.00
_cell_angle_beta 90.00
_cell_angle_gamma 90.00
loop_
_atom_site_label
_atom_site_fract_x
_atom_site_fract_y
_atom_site_fract_z
Cs1 0.000 0.000 0.000
Be1 0.500 0.500 0.500
Si1 0.000 0.500 0.500
```

The density of states at the Fermi level is 0.2809 states/eV per atom. For the total DFT energy (no corrections), the calculation gives -3.315 eV/atom. The value obtained for the energy above the most stable polymorph in this dataset is 0.0 meV per atom. The value obtained for the uncorrected formation energy is 0.854 eV per atom.

Number 5 is which compound?
Cs2UBeSe4

Which value of total DFT energy (no corrections) does entry 1 give?
-4.684 eV/atom

total DFT energy (no corrections) of number 9 (Cs2YBe2Se4)?
-4.355 eV/atom

What did the eleventh record say?
CsBeSi3 | PBE | relaxed

Geometry as CIF:
```
data_CsBeSi3
_chemical_formula_sum 'Cs1 Be1 Si3'
_symmetry_space_group_name_H-M 'P m -3 m'
_symmetry_Int_Tables_number 221
_symmetry_space_group_name_Hall '-P 4 2 3'
_cell_length_a 4.764
_cell_length_b 4.764
_cell_length_c 4.764
_cell_angle_alpha 90.00
_cell_angle_beta 90.00
_cell_angle_gamma 90.00
loop_
_atom_site_label
_atom_site_fract_x
_atom_site_fract_y
_atom_site_fract_z
Cs1 0.000 0.000 0.000
Be1 0.500 0.500 0.500
Si1 0.000 0.500 0.500
```

The density of states at the Fermi level is 0.2809 states/eV per atom. For the total DFT energy (no corrections), the calculation gives -3.315 eV/atom. The value obtained for the energy above the most stable polymorph in this dataset is 0.0 meV per atom. The value obtained for the uncorrected formation energy is 0.854 eV per atom.